An optimized crystal structure of KNp2O5, computed with PBE-GGA.

The total moment is 5.000 μB per cell. The calculation puts the volume at 119.7 Å³ per cell. Its symmetry is Immm (71). The energy relative to the elements, uncorrected comes out at -265 kJ per mole of atoms.

Structure (POSCAR):
```
KNp2O5
1.0
3.361 0.000 1.117
0.800 5.993 3.208
-0.340 1.643 6.636
K Np O
1 2 5
direct
0.000 0.000 0.000
0.822 0.678 0.678
0.178 0.322 0.322
0.000 0.500 0.500
0.667 0.575 0.091
0.333 0.425 0.909
0.333 0.909 0.425
0.667 0.091 0.575
```